The following is a DFT calculation (PBE) of crystalline LiInPt2 at its relaxed geometry.

a = 3.2834 Å, b = 3.2834 Å, c = 5.8898 Å
α = 90.00°, β = 90.00°, γ = 90.00°
Sites, in units of the cell vectors:
Li 0.0000 0.0000 0.0000
In 0.0000 0.0000 0.5000
Pt 0.5000 0.5000 0.2347
Pt 0.5000 0.5000 0.7653

Its crystal system is tetragonal. Its symmetry is No. 123.


The following is a DFT calculation (PBE) of crystalline TmSnTe2AuS at its relaxed geometry.

a = 7.5986 Å, b = 7.5986 Å, c = 10.1739 Å
α = 90.00°, β = 90.00°, γ = 147.49°
Sites, in units of the cell vectors:
Tm 0.0000 0.0000 0.0000
Tm 0.0000 0.0000 0.5000
Sn 0.2708 0.7292 0.7500
Sn 0.7292 0.2708 0.2500
Te 0.3492 0.6508 0.0553
Te 0.3492 0.6508 0.4447
Te 0.6508 0.3492 0.5553
Te 0.6508 0.3492 0.9447
Au 0.4816 0.5184 0.2500
Au 0.5184 0.4816 0.7500
S 0.0815 0.9185 0.2500
S 0.9185 0.0815 0.7500

Its crystal system is orthorhombic. Its symmetry is No. 63.


The following is a DFT calculation (PBE) of crystalline TaCuGeOs at its relaxed geometry.

a = 6.2088 Å, b = 6.2088 Å, c = 6.2088 Å
α = 90.00°, β = 90.00°, γ = 90.00°
Sites, in units of the cell vectors:
Ta 0.0000 0.0000 0.0000
Ta 0.0000 0.5000 0.5000
Ta 0.5000 0.0000 0.5000
Ta 0.5000 0.5000 0.0000
Cu 0.2500 0.2500 0.7500
Cu 0.2500 0.7500 0.2500
Cu 0.7500 0.2500 0.2500
Cu 0.7500 0.7500 0.7500
Ge 0.0000 0.0000 0.5000
Ge 0.0000 0.5000 0.0000
Ge 0.5000 0.0000 0.0000
Ge 0.5000 0.5000 0.5000
Os 0.2500 0.2500 0.2500
Os 0.2500 0.7500 0.7500
Os 0.7500 0.2500 0.7500
Os 0.7500 0.7500 0.2500

Its crystal system is cubic. Its symmetry is No. 216.


Number 1: magnetic moment 0.006 μB per formula unit, electronic total energy -4.70 eV per atom. Number 2: magnetic moment 0.005 μB per formula unit, electronic total energy -4.40 eV per atom. Number 3: magnetic moment 0.001 μB per formula unit, electronic total energy -7.85 eV per atom.